Computed, not measured: Cd2SbAs after structural relaxation at the PBE-GGA level of DFT.

Polymorph energy (0 for the lowest one) = 0.000 eV/atom
Formation energy (no corrections) = 34 meV/atom

a b c (Å): 4.863 4.863 6.293
angles (deg): 110.30 110.30 48.84
Element x y z (fractional)
1 Cd 0.000 0.000 0.000
2 Cd 0.202 0.202 0.736
3 Sb 0.778 0.778 0.228
4 As 0.436 0.436 0.559


Computed, not measured: PmDyHoTh after structural relaxation at the PBE-GGA level of DFT.

Formation energy from the elements = 18 kJ/mol of atoms
Polymorph energy (0 for the lowest one) = 0.170 eV/atom

a b c (Å): 5.691 5.691 5.691
angles (deg): 60.00 60.00 60.00
Element x y z (fractional)
1 Pm 0.000 0.000 0.000
2 Dy 0.500 0.500 0.500
3 Ho 0.750 0.750 0.750
4 Th 0.250 0.250 0.250


Computed, not measured: CdGeO2F after structural relaxation at the PBE-GGA level of DFT.

Formation energy (no corrections) = 221 meV/atom

a b c (Å): 4.551 4.551 3.752
angles (deg): 90.00 90.00 90.00
Element x y z (fractional)
1 Cd 0.000 0.000 0.000
2 Ge 0.500 0.500 0.000
3 O 0.000 0.500 0.500
4 O 0.500 0.000 0.500
5 F 0.500 0.500 0.500


Computed, not measured: NpPbSe after structural relaxation at the PBE-GGA level of DFT.

Formation energy (no corrections) = -325 meV/atom

a b c (Å): 8.416 8.416 3.474
angles (deg): 90.00 90.00 139.88
Element x y z (fractional)
1 Np 0.054 0.946 0.750
2 Np 0.946 0.054 0.250
3 Pb 0.409 0.591 0.750
4 Pb 0.591 0.409 0.250
5 Se 0.188 0.812 0.250
6 Se 0.812 0.188 0.750


Computed, not measured: LaTb2Rh2 after structural relaxation at the PBE-GGA level of DFT.

Formation energy from the elements = -65 kJ/mol of atoms

a b c (Å): 6.883 6.883 10.022
angles (deg): 90.00 90.00 147.11
Element x y z (fractional)
1 La 0.095 0.905 0.750
2 La 0.905 0.095 0.250
3 Tb 0.355 0.645 0.569
4 Tb 0.355 0.645 0.931
5 Tb 0.645 0.355 0.069
6 Tb 0.645 0.355 0.431
7 Rh 0.000 0.000 0.000
8 Rh 0.000 0.000 0.500
9 Rh 0.244 0.756 0.250
10 Rh 0.756 0.244 0.750


Computed, not measured: Na4LiTh3Te8 after structural relaxation at the PBE-GGA level of DFT.

Formation energy (no corrections) = -1107 meV/atom

a b c (Å): 9.147 9.147 9.147
angles (deg): 58.74 58.74 58.74
Element x y z (fractional)
1 Na 0.000 0.000 0.000
2 Na 0.000 0.500 0.500
3 Na 0.500 0.000 0.500
4 Na 0.500 0.500 0.000
5 Li 0.500 0.500 0.500
6 Th 0.000 0.000 0.500
7 Th 0.000 0.500 0.000
8 Th 0.500 0.000 0.000
9 Te 0.247 0.744 0.744
10 Te 0.249 0.249 0.249
11 Te 0.256 0.256 0.753
12 Te 0.256 0.753 0.256
13 Te 0.744 0.247 0.744
14 Te 0.744 0.744 0.247
15 Te 0.751 0.751 0.751
16 Te 0.753 0.256 0.256


Computed, not measured: CeHfW4 after structural relaxation at the PBE-GGA level of DFT.

Formation energy from the elements = 11 kJ/mol of atoms

a b c (Å): 5.485 5.485 5.485
angles (deg): 60.00 60.00 60.00
Element x y z (fractional)
1 Ce 0.000 0.000 0.000
2 Hf 0.750 0.750 0.750
3 W 0.375 0.375 0.375
4 W 0.375 0.375 0.875
5 W 0.375 0.875 0.375
6 W 0.875 0.375 0.375


Computed, not measured: DyMgTi after structural relaxation at the PBE-GGA level of DFT.

Formation energy from the elements = 12 kJ/mol of atoms
Polymorph energy (0 for the lowest one) = 0.000 eV/atom

a b c (Å): 6.917 6.917 6.917
angles (deg): 152.50 152.50 39.28
Element x y z (fractional)
1 Dy 0.000 0.000 0.000
2 Mg 0.308 0.308 0.000
3 Ti 0.659 0.659 0.000


Computed, not measured: U2Mn3Al6Zn after structural relaxation at the PBE-GGA level of DFT.

Formation energy from the elements = -5 kJ/mol of atoms

a b c (Å): 5.937 5.937 6.110
angles (deg): 90.99 90.99 69.94
Element x y z (fractional)
1 U 0.139 0.139 0.305
2 U 0.861 0.861 0.695
3 Mn 0.000 0.000 0.000
4 Mn 0.000 0.500 0.500
5 Mn 0.500 0.000 0.500
6 Al 0.200 0.603 0.160
7 Al 0.271 0.271 0.814
8 Al 0.397 0.800 0.840
9 Al 0.603 0.200 0.160
10 Al 0.729 0.729 0.186
11 Al 0.800 0.397 0.840
12 Zn 0.500 0.500 0.500


Computed, not measured: ZrBi2Pt after structural relaxation at the PBE-GGA level of DFT.

Formation energy from the elements = -2 kJ/mol of atoms
Polymorph energy (0 for the lowest one) = 0.000 eV/atom

a b c (Å): 5.089 5.089 5.089
angles (deg): 60.00 60.00 60.00
Element x y z (fractional)
1 Zr 0.000 0.000 0.000
2 Bi 0.250 0.250 0.250
3 Bi 0.750 0.750 0.750
4 Pt 0.500 0.500 0.500


Computed, not measured: CaNdPtPb after structural relaxation at the PBE-GGA level of DFT.

Formation energy from the elements = -76 kJ/mol of atoms
Polymorph energy (0 for the lowest one) = 0.000 eV/atom

a b c (Å): 3.610 3.610 8.163
angles (deg): 90.00 90.00 90.00
Element x y z (fractional)
1 Ca 0.000 0.000 0.000
2 Nd 0.000 0.000 0.576
3 Pt 0.500 0.500 0.774
4 Pb 0.500 0.500 0.280


Computed, not measured: Rb2AgSn3Au4 after structural relaxation at the PBE-GGA level of DFT.

Formation energy from the elements = -22 kJ/mol of atoms

a b c (Å): 5.004 5.004 10.871
angles (deg): 90.00 90.00 90.00
Element x y z (fractional)
1 Rb 0.000 0.500 0.248
2 Rb 0.500 0.000 0.752
3 Ag 0.500 0.500 0.000
4 Sn 0.000 0.000 0.000
5 Sn 0.000 0.500 0.618
6 Sn 0.500 0.000 0.382
7 Au 0.000 0.000 0.500
8 Au 0.000 0.500 0.876
9 Au 0.500 0.000 0.124
10 Au 0.500 0.500 0.500